# TbHo5Er2Zr | Alexandria via LeMat-Bulk | PBE | optimized geometry
data_TbHo5Er2Zr
_chemical_formula_sum 'Tb4 Ho20 Er8 Zr4'
_symmetry_space_group_name_H-M 'C m c 21'
_symmetry_Int_Tables_number 36
_symmetry_space_group_name_Hall 'C 2c -2'
_cell_length_a 5.583
_cell_length_b 21.542
_cell_length_c 9.261
_cell_angle_alpha 90.00
_cell_angle_beta 90.00
_cell_angle_gamma 90.00
loop_
_atom_site_label
_atom_site_type_symbol
_atom_site_fract_x
_atom_site_fract_y
_atom_site_fract_z
_atom_site_occupancy
Tb1 Tb 0.000 0.099 0.000 1
Ho1 Ho 0.000 0.029 0.679 1
Ho2 Ho 0.000 0.105 0.381 1
Ho3 Ho 0.000 0.196 0.715 1
Ho4 Ho 0.000 0.231 0.101 1
Ho5 Ho 0.000 0.486 0.416 1
Er1 Er 0.000 0.366 0.714 1
Er2 Er 0.000 0.385 0.107 1
Zr1 Zr 0.000 0.316 0.409 1
# **Energy of formation**: 0.1732 eV per atom
# **M_tot**: 0.00 Bohr magnetons per cell
# **DOS(E_F)**: 1.343 states/eV per atom
# **VASP energy**: -4.85 eV per atom